The following is a DFT calculation (PBE-GGA) of an optimized crystal structure of K2AuOF.

Values from the calculation:
The formation energy without anion corrections comes out at -0.62 eV per atom.

Cell: 5.5142 5.5142 3.8360 Å, 90.00 90.00 90.00°
With the nearest neighbours (Å) after each atom.
Fractional coordinates of all 5 atoms:
1 K 0.0000 0.5000 0.0000  2 O 2.76
2 K 0.5000 0.0000 0.0000  2 O 2.76
3 Au 0.0000 0.0000 0.5000  8 K 3.36
4 O 0.5000 0.5000 0.0000  2 F 1.92
5 F 0.5000 0.5000 0.5000  2 O 1.92


The following is a DFT calculation (PBE-GGA) of an optimized crystal structure of K6Au2OF.

Values from the calculation:
The formation energy without anion corrections comes out at -0.96 eV per atom.

Cell: 7.4528 7.4528 6.5849 Å, 90.00 90.00 120.00°
With the nearest neighbours (Å) after each atom.
Fractional coordinates of all 10 atoms:
1 K 0.1563 0.3127 0.2605  1 O 2.56, 1 F 2.65
2 K 0.1563 0.8437 0.2605  1 O 2.56, 1 F 2.65
3 K 0.3127 0.1563 0.7395  1 O 2.56, 1 F 2.65
4 K 0.6873 0.8437 0.2605  1 O 2.56, 1 F 2.65
5 K 0.8437 0.1563 0.7395  1 O 2.56, 1 F 2.65
6 K 0.8437 0.6873 0.7395  1 O 2.56, 1 F 2.65
7 Au 0.3333 0.6667 0.7476  12 K 3.73-4.08
8 Au 0.6667 0.3333 0.2524  12 K 3.73-4.08
9 O 0.0000 0.0000 0.5000  6 K 2.56
10 F 0.0000 0.0000 0.0000  6 K 2.65


The following is a DFT calculation (PBE-GGA) of an optimized crystal structure of KAuO2F.

Values from the calculation:
The formation energy without anion corrections comes out at 0.56 eV per atom.

Cell: 4.8499 4.8499 4.7433 Å, 90.00 90.00 90.00°
With the nearest neighbours (Å) after each atom.
Fractional coordinates of all 5 atoms:
1 K 0.0000 0.0000 0.0000  2 F 2.37, 4 O 2.42
2 Au 0.5000 0.5000 0.5000  8 O 3.39, 4 F 3.43
3 O 0.0000 0.5000 0.0000  2 K 2.42
4 O 0.5000 0.0000 0.0000  2 K 2.42
5 F 0.0000 0.0000 0.5000  2 K 2.37


The following is a DFT calculation (PBE-GGA) of an optimized crystal structure of KAuO2F.

Values from the calculation:
The formation energy without anion corrections comes out at 0.84 eV per atom.

Cell: 4.6559 4.6559 7.0888 Å, 90.00 90.00 90.00°
With the nearest neighbours (Å) after each atom.
Fractional coordinates of all 5 atoms:
1 K 0.0000 0.0000 0.0000  4 O 2.33
2 Au 0.0000 0.0000 0.5000  4 F 3.29, 2 K 3.54
3 O 0.0000 0.5000 0.0000  2 K 2.33
4 O 0.5000 0.0000 0.0000  2 K 2.33
5 F 0.5000 0.5000 0.5000  4 Au 3.29


The following is a DFT calculation (PBE-GGA) of an optimized crystal structure of K12AuO3F4.

Values from the calculation:
The formation energy without anion corrections comes out at -1.51 eV per atom.

Cell: 8.7140 8.7140 8.7140 Å, 109.47 109.47 109.47°
With the nearest neighbours (Å) after each atom.
Fractional coordinates of all 20 atoms:
1 K 0.1386 0.8194 0.3192  1 O 2.57, 2 F 2.70
2 K 0.1806 0.3192 0.4999  1 O 2.57, 2 F 2.70
3 K 0.1806 0.6808 0.8614  1 O 2.57, 2 F 2.70
4 K 0.3192 0.1386 0.8194  1 O 2.57, 2 F 2.70
5 K 0.3192 0.4999 0.1806  1 O 2.57, 2 F 2.70
6 K 0.4999 0.1806 0.3192  1 O 2.57, 2 F 2.70
7 K 0.5001 0.8194 0.6808  1 O 2.57, 2 F 2.70
8 K 0.6808 0.5001 0.8194  1 O 2.57, 2 F 2.70
9 K 0.6808 0.8614 0.1806  1 O 2.57, 2 F 2.70
10 K 0.8194 0.3192 0.1386  1 O 2.57, 2 F 2.70
11 K 0.8194 0.6808 0.5001  1 O 2.57, 2 F 2.70
12 K 0.8614 0.1806 0.6808  1 O 2.57, 2 F 2.70
13 Au 0.0000 0.0000 0.0000  12 K 3.69
14 O 0.0000 0.5000 0.5000  4 K 2.57
15 O 0.5000 0.0000 0.5000  4 K 2.57
16 O 0.5000 0.5000 0.0000  4 K 2.57
17 F 0.0000 0.0000 0.5000  6 K 2.70
18 F 0.0000 0.5000 0.0000  6 K 2.70
19 F 0.5000 0.0000 0.0000  6 K 2.70
20 F 0.5000 0.5000 0.5000  6 K 2.70


The following is a DFT calculation (PBE-GGA) of an optimized crystal structure of KAuO2F.

Values from the calculation:
The formation energy without anion corrections comes out at -0.72 eV per atom.

Cell: 3.9618 3.9618 5.3206 Å, 90.00 90.00 90.00°
With the nearest neighbours (Å) after each atom.
Fractional coordinates of all 5 atoms:
1 K 0.0000 0.0000 0.0000  4 F 2.80
2 Au 0.5000 0.5000 0.5000  4 O 1.98
3 O 0.0000 0.5000 0.5000  2 Au 1.98
4 O 0.5000 0.0000 0.5000  2 Au 1.98
5 F 0.5000 0.5000 0.0000  2 Au 2.66, 4 K 2.80


The following is a DFT calculation (PBE-GGA) of an optimized crystal structure of KPdAuF6.

Values from the calculation:
The formation energy without anion corrections comes out at -1.49 eV per atom.

Cell: 4.9892 6.0827 6.1310 Å, 60.35 89.52 88.90°
With the nearest neighbours (Å) after each atom.
Fractional coordinates of all 9 atoms:
1 K 0.0000 0.0000 0.0000  6 F 2.69-2.74
2 Pd 0.5000 0.3313 0.3380  6 F 1.98-2.00
3 Au 0.5000 0.6661 0.6685  6 F 2.30-2.48
4 F 0.2741 0.5958 0.3515  1 Pd 1.98
5 F 0.3010 0.3345 0.0576  1 Pd 1.98
6 F 0.3059 0.0372 0.6108  1 Pd 2.00
7 F 0.6955 0.3531 0.6105  1 Pd 2.00
8 F 0.6976 0.6085 0.0568  1 Pd 1.99
9 F 0.7262 0.0540 0.3506  1 Pd 1.98


The following is a DFT calculation (PBE-GGA) of an optimized crystal structure of K2PdAuF6.

Values from the calculation:
The formation energy without anion corrections comes out at -1.78 eV per atom.

Cell: 6.0707 6.0863 6.3147 Å, 115.17 97.10 114.21°
With the nearest neighbours (Å) after each atom.
Fractional coordinates of all 10 atoms:
1 K 0.2419 0.0095 0.2679  6 F 2.65-2.88
2 K 0.7581 0.9905 0.7321  6 F 2.65-2.88
3 Pd 0.0000 0.5000 0.5000  4 F 2.00
4 Au 0.5000 0.5000 0.0000  2 F 2.05
5 F 0.1790 0.8910 0.8016  1 Pd 2.00
6 F 0.1912 0.3486 0.6971  1 Au 2.05, 1 Pd 2.29
7 F 0.2844 0.6194 0.3705  1 Pd 2.00
8 F 0.7156 0.3806 0.6295  1 Pd 2.00
9 F 0.8088 0.6514 0.3029  1 Au 2.05, 1 Pd 2.29
10 F 0.8210 0.1090 0.1984  1 Pd 2.00


Number 1: magnetization 0.11 μB per cell, calculated density 4.42 g/cm³. Number 2: magnetization 0.00 μB per cell, calculated density 3.48 g/cm³. Number 3: magnetization 3.01 μB per cell, calculated density 4.27 g/cm³. Number 4: magnetization 3.01 μB per cell, calculated density 3.10 g/cm³. Number 5: magnetization 0.00 μB per cell, calculated density 2.58 g/cm³. Number 6: magnetization 1.32 μB per cell, calculated density 5.71 g/cm³. Number 7: magnetization 0.08 μB per cell, calculated density 4.69 g/cm³. Number 8: magnetization 1.01 μB per cell, calculated density 4.58 g/cm³.